[1]
Density functional theory data (GGA-PBE) for an optimized crystal structure of Ba2Hg2TeSeO2.

Values from the calculation:
As for the total energy: -3.9794 eV per atom.

Cell lengths 4.4278, 4.4278, 13.0161 Å; angles 90.00, 90.00, 120.00 degrees
Space group P3m1 (No. 156)
Inequivalent atoms, fractional coordinates:
Ba1 0.0000 0.0000 0.0000 (multiplicity 1)
Ba2 0.3333 0.6667 0.4809 (multiplicity 1)
Hg1 0.6667 0.3333 0.2133 (multiplicity 1)
Hg2 0.6667 0.3333 0.6949 (multiplicity 1)
Te1 0.3333 0.6667 0.7897 (multiplicity 1)
Se1 0.0000 0.0000 0.2887 (multiplicity 1)
O1 0.6667 0.3333 0.0423 (multiplicity 1)
O2 0.6667 0.3333 0.5243 (multiplicity 1)

[2]
Density functional theory data (GGA-PBE) for an optimized crystal structure of CsHfAuS3.

Values from the calculation:
As for the total energy: -5.5150 eV per atom.

Cell lengths 10.9263, 3.7748, 15.7934 Å; angles 90.00, 90.00, 90.00 degrees
Space group Pnma (No. 62)
Inequivalent atoms, fractional coordinates:
Cs1 0.2293 0.2500 0.0095 (multiplicity 4)
Hf1 0.0153 0.2500 0.2637 (multiplicity 4)
Au1 0.2336 0.7500 0.2193 (multiplicity 4)
S1 0.0262 0.7500 0.1509 (multiplicity 4)
S2 0.0726 0.2500 0.6429 (multiplicity 4)
S3 0.2093 0.2500 0.3318 (multiplicity 4)

[3]
Density functional theory data (GGA-PBE) for an optimized crystal structure of Dy12Ni6Bi.

Values from the calculation:
As for the total energy: -5.2837 eV per atom.

Cell lengths 9.7393, 9.7393, 9.7393 Å; angles 90.00, 90.00, 90.00 degrees
Space group Im-3 (No. 204)
Inequivalent atoms, fractional coordinates:
Dy1 0.0000 0.3072 0.1883 (multiplicity 24)
Ni1 0.0000 0.1233 0.5000 (multiplicity 12)
Bi1 0.0000 0.0000 0.0000 (multiplicity 2)

[4]
Density functional theory data (GGA-PBE) for an optimized crystal structure of Sr2LuNi.

Values from the calculation:
As for the total energy: -1.3807 eV per atom.

Cell lengths 6.2660, 6.2660, 6.2660 Å; angles 90.00, 90.00, 90.00 degrees
Space group F-43m (No. 216)
Inequivalent atoms, fractional coordinates:
Sr1 0.0000 0.0000 0.0000 (multiplicity 4)
Sr2 0.2500 0.2500 0.2500 (multiplicity 4)
Lu1 0.0000 0.0000 0.5000 (multiplicity 4)
Ni1 0.2500 0.2500 0.7500 (multiplicity 4)

[5]
Density functional theory data (GGA-PBE) for an optimized crystal structure of KAgAs.

Values from the calculation:
As for the energy above the lowest structure with this stoichiometry: 0.0 meV/atom.

Cell lengths 4.4046, 4.4046, 10.3580 Å; angles 90.00, 90.00, 120.00 degrees
Space group P6_3/mmc (No. 194)
Inequivalent atoms, fractional coordinates:
K1 0.0000 0.0000 0.0000 (multiplicity 2)
Ag1 0.3333 0.6667 0.2500 (multiplicity 2)
As1 0.3333 0.6667 0.7500 (multiplicity 2)

[6]
Density functional theory data (GGA-PBE) for an optimized crystal structure of SmZnSn.

Values from the calculation:
As for the total energy: -3.4199 eV per atom.

Cell lengths 7.0722, 7.0722, 7.0722 Å; angles 90.00, 90.00, 90.00 degrees
Space group F-43m (No. 216)
Inequivalent atoms, fractional coordinates:
Sm1 0.0000 0.0000 0.0000 (multiplicity 4)
Zn1 0.2500 0.2500 0.2500 (multiplicity 4)
Sn1 0.2500 0.2500 0.7500 (multiplicity 4)

[7]
Density functional theory data (GGA-PBE) for an optimized crystal structure of Nd2HgAs2PdO2.

Values from the calculation:
As for the total energy: -5.8956 eV per atom.

Cell lengths 4.1338, 4.1338, 8.8955 Å; angles 90.00, 90.00, 90.00 degrees
Space group P-4m2 (No. 115)
Inequivalent atoms, fractional coordinates:
Nd1 0.0000 0.5000 0.1285 (multiplicity 2)
Hg1 0.0000 0.0000 0.5000 (multiplicity 1)
As1 0.0000 0.5000 0.6930 (multiplicity 2)
Pd1 0.5000 0.5000 0.5000 (multiplicity 1)
O1 0.0000 0.0000 0.0000 (multiplicity 1)
O2 0.5000 0.5000 0.0000 (multiplicity 1)

[8]
Density functional theory data (GGA-PBE) for an optimized crystal structure of PtPbSO.

Values from the calculation:
As for the energy above the lowest structure with this stoichiometry: 206.0 meV/atom.

Cell lengths 3.7673, 3.7673, 11.0737 Å; angles 90.00, 90.00, 90.00 degrees
Space group P4/nmm (No. 129, origin choice 2)
Inequivalent atoms, fractional coordinates:
Pt1 0.2500 0.7500 0.0000 (multiplicity 2)
Pb1 0.2500 0.2500 0.3803 (multiplicity 2)
S1 0.2500 0.2500 0.8567 (multiplicity 2)
O1 0.2500 0.2500 0.5795 (multiplicity 2)